The following is a DFT calculation (PBE-GGA) of a geometry-optimized LiVTc2 structure.

E_form, meV per atom: 133
Symmetry: Fm-3m, No. 225
Raw total energy, eV/cell: -31.23
ΔE to the lowest computed polymorph, meV per atom: 0
Size of the total moment, μB per cell: 0.000

Cell: 4.2160 4.2160 4.2160 Å, 60.00 60.00 60.00°
Element x y z (fractional)
Li: 0.0000 0.0000 0.0000
Tc: 0.2500 0.2500 0.2500
V: 0.5000 0.5000 0.5000
Tc: 0.7500 0.7500 0.7500

=====

The following is a DFT calculation (PBE-GGA) of a geometry-optimized LiTcW2 structure.

E_form, meV per atom: 430
Symmetry: Cmmm, No. 65
Raw total energy, eV/cell: -36.46
ΔE to the lowest computed polymorph, meV per atom: 175
Size of the total moment, μB per cell: 0.000

Cell: 4.9367 4.9367 2.7045 Å, 90.00 90.00 114.16°
Element x y z (fractional)
W: 0.0000 0.0000 0.0000
W: 0.5000 0.5000 0.0000
Tc: 0.0000 0.5000 0.5000
Li: 0.5000 0.0000 0.5000

=====

The following is a DFT calculation (PBE-GGA) of a geometry-optimized LiTc4W structure.

E_form, meV per atom: 312
Symmetry: F-43m, No. 216
Raw total energy, eV/cell: -54.46
Size of the total moment, μB per cell: 0.000

Cell: 5.0888 5.0888 5.0888 Å, 60.00 60.00 60.00°
Element x y z (fractional)
Tc: 0.3745 0.8764 0.3745
Tc: 0.3745 0.3745 0.8764
W: 0.7500 0.7500 0.7500
Tc: 0.8764 0.3745 0.3745
Li: 0.0000 0.0000 0.0000
Tc: 0.3745 0.3745 0.3745

=====

The following is a DFT calculation (PBE-GGA) of a geometry-optimized LiTcW2 structure.

E_form, meV per atom: 361
Symmetry: P4mm, No. 99
Raw total energy, eV/cell: -36.74
ΔE to the lowest computed polymorph, meV per atom: 106
Size of the total moment, μB per cell: 0.000

Cell: 3.2177 3.2177 5.6239 Å, 90.00 90.00 90.00°
Element x y z (fractional)
W: 0.0000 0.0000 0.9965
W: 0.5000 0.5000 0.2693
Li: 0.0000 0.0000 0.5063
Tc: 0.5000 0.5000 0.7279

=====

The following is a DFT calculation (PBE-GGA) of a geometry-optimized LiTc2W structure.

E_form, meV per atom: 163
Symmetry: Fm-3m, No. 225
Raw total energy, eV/cell: -34.95
ΔE to the lowest computed polymorph, meV per atom: 0
Size of the total moment, μB per cell: 0.000

Cell: 4.3180 4.3180 4.3180 Å, 60.00 60.00 60.00°
Element x y z (fractional)
Tc: 0.2500 0.2500 0.2500
Li: 0.0000 0.0000 0.0000
W: 0.5000 0.5000 0.5000
Tc: 0.7500 0.7500 0.7500

=====

The following is a DFT calculation (PBE-GGA) of a geometry-optimized LiTcW2 structure.

E_form, meV per atom: 397
Symmetry: P4/mmm, No. 123
Raw total energy, eV/cell: -36.60
ΔE to the lowest computed polymorph, meV per atom: 142
Size of the total moment, μB per cell: 0.000

Cell: 3.8915 3.8867 3.8867 Å, 90.00 90.00 90.00°
Element x y z (fractional)
Tc: 0.5000 0.0000 0.5000
W: 0.0000 0.5000 0.5000
W: 0.0000 0.0000 0.0000
Li: 0.5000 0.5000 0.0000